Compound: SmHoI
Source: the Alexandria database
Functional: GGA-PBE
Structure: optimized geometry

a b c (Å): 3.853 3.853 7.630
angles (deg): 90.00 90.00 120.00
Fractional positions:
Sm1 0.000 0.000 0.000
Ho1 0.667 0.333 0.350
I1 0.333 0.667 0.669

## Properties
Space-group type: P3m1 (156)
Total energy: -4.139 eV per atom
Total moment: 0.1053 μB/atom
Energy above the most stable polymorph in this dataset: 0.00 eV per formula unit
Formation energy (no corrections): -523 meV/atom